Arrangement A

{
  "formula": "SnAuNO",
  "functional": "GGA-PBE",
  "state": "optimized geometry",
  "cell": [[-0.270, -0.343, 5.920], [-2.268, -2.648, -0.257], [5.375, -4.604, -0.021]],
  "species": ["Au", "Au", "N", "N", "O", "O", "Sn", "Sn"],
  "fractional_positions": [[0.635, 0.000, 0.490], [0.135, 0.000, 0.510], [0.893, 0.000, 0.297], [0.393, 0.000, 0.703], [0.275, 0.500, 0.088], [0.775, 0.500, 0.912], [0.950, 0.500, 0.149], [0.450, 0.500, 0.851]],
  "crystal_system": "orthorhombic"
}

---

Arrangement B

{
  "formula": "SnAuNO",
  "functional": "GGA-PBE",
  "state": "optimized geometry",
  "cell": [[3.315, -0.065, 1.429], [-0.688, 5.599, 1.850], [-2.349, -2.058, 5.356]],
  "species": ["Au", "Au", "N", "N", "O", "O", "Sn", "Sn"],
  "fractional_positions": [[0.500, 0.972, 0.206], [0.500, 0.472, 0.794], [0.000, 0.857, 0.356], [0.000, 0.357, 0.644], [0.500, 0.423, 0.194], [0.500, 0.923, 0.806], [0.000, 0.502, 0.335], [0.000, 0.002, 0.665]],
  "crystal_system": "orthorhombic"
}

---

arrangement A is preferred energetically. Next in line: 308 meV/atom higher.

---

Arrangement A

{
  "formula": "SnAuNO",
  "functional": "GGA-PBE",
  "state": "optimized geometry",
  "cell": [[-3.241, -0.541, 4.740], [-2.846, -4.986, -2.515], [4.816, -4.170, 2.817]],
  "species": ["Au", "Au", "Au", "Au", "N", "N", "N", "N", "O", "O", "O", "O", "Sn", "Sn", "Sn", "Sn"],
  "fractional_positions": [[0.054, 0.519, 0.345], [0.554, 0.981, 0.345], [0.054, 0.019, 0.655], [0.554, 0.481, 0.655], [0.564, 0.119, 0.067], [0.064, 0.381, 0.067], [0.564, 0.619, 0.933], [0.064, 0.881, 0.933], [0.152, 0.069, 0.375], [0.652, 0.431, 0.375], [0.152, 0.569, 0.625], [0.652, 0.931, 0.625], [0.932, 0.077, 0.149], [0.432, 0.423, 0.149], [0.932, 0.577, 0.851], [0.432, 0.923, 0.851]],
  "crystal_system": "orthorhombic"
}

---

Arrangement B

{
  "formula": "SnAuNO",
  "functional": "GGA-PBE",
  "state": "optimized geometry",
  "cell": [[5.329, 0.000, 0.000], [0.000, 7.785, 0.000], [0.000, 0.000, 5.209]],
  "species": ["Au", "Au", "Au", "Au", "N", "N", "N", "N", "O", "O", "O", "O", "Sn", "Sn", "Sn", "Sn"],
  "fractional_positions": [[0.583, 0.063, 0.495], [0.083, 0.937, 0.495], [0.917, 0.063, 0.995], [0.417, 0.937, 0.995], [0.369, 0.202, 0.223], [0.869, 0.798, 0.223], [0.131, 0.202, 0.723], [0.631, 0.798, 0.723], [0.809, 0.449, 0.095], [0.309, 0.551, 0.095], [0.691, 0.449, 0.595], [0.191, 0.551, 0.595], [0.031, 0.343, 0.389], [0.531, 0.657, 0.389], [0.469, 0.343, 0.889], [0.969, 0.657, 0.889]],
  "crystal_system": "orthorhombic"
}

---

arrangement A is preferred energetically. Next in line: 40 meV/atom higher.